[1]
This record from the Alexandria database describes a relaxed structure of PaAsPdAu. The functional is PBE.

Properties
Energy relative to the elements, eV/atom: -0.513
Symmetry: F-43m (216)

Cell: 6.8281 6.8281 6.8281 Å, 90.00 90.00 90.00°
Fractional coordinates of all 16 atoms:
Pa (0.0000, 0.0000, 0.0000)
Pa (0.0000, 0.5000, 0.5000)
Pa (0.5000, 0.0000, 0.5000)
Pa (0.5000, 0.5000, 0.0000)
As (0.2500, 0.2500, 0.7500)
As (0.2500, 0.7500, 0.2500)
As (0.7500, 0.2500, 0.2500)
As (0.7500, 0.7500, 0.7500)
Pd (0.0000, 0.0000, 0.5000)
Pd (0.0000, 0.5000, 0.0000)
Pd (0.5000, 0.0000, 0.0000)
Pd (0.5000, 0.5000, 0.5000)
Au (0.2500, 0.2500, 0.2500)
Au (0.2500, 0.7500, 0.7500)
Au (0.7500, 0.2500, 0.7500)
Au (0.7500, 0.7500, 0.2500)

[2]
This record from the Alexandria database describes a relaxed structure of BaNa4Ta2. The functional is PBE.

Properties
Energy relative to the elements, eV/atom: 1.290
Symmetry: I4/mmm (139)

Cell: 6.0906 6.0906 16.3219 Å, 90.00 90.00 90.00°
Fractional coordinates of all 14 atoms:
Ba (0.0000, 0.0000, 0.0000)
Ba (0.5000, 0.5000, 0.5000)
Na (0.0000, 0.0000, 0.2348)
Na (0.0000, 0.0000, 0.7652)
Na (0.0000, 0.5000, 0.0000)
Na (0.0000, 0.5000, 0.5000)
Na (0.5000, 0.0000, 0.0000)
Na (0.5000, 0.0000, 0.5000)
Na (0.5000, 0.5000, 0.2652)
Na (0.5000, 0.5000, 0.7348)
Ta (0.0000, 0.0000, 0.4309)
Ta (0.0000, 0.0000, 0.5691)
Ta (0.5000, 0.5000, 0.0691)
Ta (0.5000, 0.5000, 0.9309)

[3]
This record from the Alexandria database describes a relaxed structure of SbTe2P. The functional is PBE.

Properties
Formation energy from raw total energies, eV/atom: 0.4663
Energy above the most stable polymorph in this dataset, meV per atom: 308
Symmetry: Cmmm (65)

Cell: 3.6723 5.6606 9.7161 Å, 90.00 90.00 90.00°
Fractional coordinates of all 8 atoms:
Sb (0.0000, 0.0000, 0.0000)
Sb (0.5000, 0.5000, 0.0000)
Te (0.0000, 0.5000, 0.2867)
Te (0.0000, 0.5000, 0.7133)
Te (0.5000, 0.0000, 0.2867)
Te (0.5000, 0.0000, 0.7133)
P (0.0000, 0.0000, 0.5000)
P (0.5000, 0.5000, 0.5000)

> Number 2 is which compound?

BaNa4Ta2

> What is the formula in the third record?

SbTe2P

> What is the formula in the third record?

SbTe2P

Repeat the second record exactly.
This record from the Alexandria database describes a relaxed structure of BaNa4Ta2. The functional is PBE.

Properties
Energy relative to the elements, eV/atom: 1.290
Symmetry: I4/mmm (139)

Cell: 6.0906 6.0906 16.3219 Å, 90.00 90.00 90.00°
Fractional coordinates of all 14 atoms:
Ba (0.0000, 0.0000, 0.0000)
Ba (0.5000, 0.5000, 0.5000)
Na (0.0000, 0.0000, 0.2348)
Na (0.0000, 0.0000, 0.7652)
Na (0.0000, 0.5000, 0.0000)
Na (0.0000, 0.5000, 0.5000)
Na (0.5000, 0.0000, 0.0000)
Na (0.5000, 0.0000, 0.5000)
Na (0.5000, 0.5000, 0.2652)
Na (0.5000, 0.5000, 0.7348)
Ta (0.0000, 0.0000, 0.4309)
Ta (0.0000, 0.0000, 0.5691)
Ta (0.5000, 0.5000, 0.0691)
Ta (0.5000, 0.5000, 0.9309)